[1]
The following is a DFT calculation (PBE-GGA) of a relaxed structure of RbAg6Se2.

Geometry as CIF:
```
data_RbAg6Se2
_space_group_name_H-M_alt 'P 1'
_space_group_IT_number 1
_space_group_name_Hall 'P 1'
_cell_length_a 4.360
_cell_length_b 4.360
_cell_length_c 10.929
_cell_angle_alpha 90.00
_cell_angle_beta 90.00
_cell_angle_gamma 90.00
loop_
_atom_site_label
_atom_site_fract_x
_atom_site_fract_y
_atom_site_fract_z
_atom_site_occupancy
Rb1 0.000 0.000 0.000 1
Ag1 0.000 0.500 0.322 1
Ag2 0.500 0.000 0.322 1
Ag3 0.000 0.500 0.678 1
Ag4 0.500 0.000 0.678 1
Ag5 0.500 0.500 0.500 1
Ag6 0.000 0.000 0.500 1
Se1 0.500 0.500 0.176 1
Se2 0.500 0.500 0.824 1
```

Summary:
Uncorrected energy = -27.3 eV for the cell shown

---

[2]
The following is a DFT calculation (PBE-GGA) of a relaxed structure of SmYSiHg.

Geometry as CIF:
```
data_SmYSiHg
_space_group_name_H-M_alt 'P 1'
_space_group_IT_number 1
_space_group_name_Hall 'P 1'
_cell_length_a 5.172
_cell_length_b 5.172
_cell_length_c 5.172
_cell_angle_alpha 60.00
_cell_angle_beta 60.00
_cell_angle_gamma 60.00
loop_
_atom_site_label
_atom_site_fract_x
_atom_site_fract_y
_atom_site_fract_z
_atom_site_occupancy
Y1 0.500 0.500 0.500 1
Si1 0.750 0.750 0.750 1
Hg1 0.250 0.250 0.250 1
Sm1 0.000 0.000 0.000 1
```

Summary:
Uncorrected energy = -18.8 eV for the cell shown

---

[3]
The following is a DFT calculation (PBE-GGA) of a relaxed structure of Li5NCl.

Geometry as CIF:
```
data_Li5NCl
_space_group_name_H-M_alt 'P 1'
_space_group_IT_number 1
_space_group_name_Hall 'P 1'
_cell_length_a 7.035
_cell_length_b 7.036
_cell_length_c 7.036
_cell_angle_alpha 88.88
_cell_angle_beta 63.30
_cell_angle_gamma 122.09
loop_
_atom_site_label
_atom_site_fract_x
_atom_site_fract_y
_atom_site_fract_z
_atom_site_occupancy
Li1 0.285 0.285 0.000 1
Li2 0.452 0.808 0.740 1
Li3 0.785 0.285 0.500 1
Li4 0.250 0.034 0.716 1
Li5 0.048 0.808 0.144 1
Li6 0.952 0.192 0.856 1
Li7 0.750 0.966 0.284 1
Li8 0.215 0.715 0.500 1
Li9 0.548 0.192 0.260 1
Li10 0.715 0.715 0.000 1
N1 0.000 0.000 0.000 1
N2 0.500 0.000 0.500 1
Cl1 0.250 0.384 0.366 1
Cl2 0.750 0.616 0.634 1
```

Summary:
E above lowest polymorph = 0.0087 eV/atom

---

[4]
The following is a DFT calculation (PBE-GGA) of a relaxed structure of ZnAg12Au3.

Geometry as CIF:
```
data_ZnAg12Au3
_space_group_name_H-M_alt 'P 1'
_space_group_IT_number 1
_space_group_name_Hall 'P 1'
_cell_length_a 4.127
_cell_length_b 4.127
_cell_length_c 16.607
_cell_angle_alpha 90.00
_cell_angle_beta 90.00
_cell_angle_gamma 90.00
loop_
_atom_site_label
_atom_site_fract_x
_atom_site_fract_y
_atom_site_fract_z
_atom_site_occupancy
Zn1 0.000 0.000 0.000 1
Ag1 0.500 0.500 0.000 1
Ag2 0.500 0.500 0.248 1
Ag3 0.500 0.500 0.500 1
Ag4 0.500 0.500 0.752 1
Ag5 0.500 0.000 0.122 1
Ag6 0.500 0.000 0.374 1
Ag7 0.500 0.000 0.626 1
Ag8 0.500 0.000 0.878 1
Ag9 0.000 0.500 0.122 1
Ag10 0.000 0.500 0.374 1
Ag11 0.000 0.500 0.626 1
Ag12 0.000 0.500 0.878 1
Au1 0.000 0.000 0.249 1
Au2 0.000 0.000 0.500 1
Au3 0.000 0.000 0.751 1
```

Summary:
Calculated formation energy = -21.4 meV/atom

---

[5]
The following is a DFT calculation (PBE-GGA) of a relaxed structure of Ti2Cr2Re.

Geometry as CIF:
```
data_Ti2Cr2Re
_space_group_name_H-M_alt 'P 1'
_space_group_IT_number 1
_space_group_name_Hall 'P 1'
_cell_length_a 6.063
_cell_length_b 6.063
_cell_length_c 4.123
_cell_angle_alpha 90.00
_cell_angle_beta 90.00
_cell_angle_gamma 90.00
loop_
_atom_site_label
_atom_site_fract_x
_atom_site_fract_y
_atom_site_fract_z
_atom_site_occupancy
Re1 0.000 0.000 0.000 1
Re2 0.500 0.500 0.000 1
Ti1 0.177 0.677 0.500 1
Ti2 0.677 0.823 0.500 1
Ti3 0.823 0.323 0.500 1
Ti4 0.323 0.177 0.500 1
Cr1 0.371 0.871 0.000 1
Cr2 0.871 0.629 0.000 1
Cr3 0.629 0.129 0.000 1
Cr4 0.129 0.371 0.000 1
```

Summary:
Calculated formation energy = 142.1 meV/atom

---

[6]
The following is a DFT calculation (PBE-GGA) of a relaxed structure of Gd2P4O13.

Geometry as CIF:
```
data_Gd2P4O13
_space_group_name_H-M_alt 'P 1'
_space_group_IT_number 1
_space_group_name_Hall 'P 1'
_cell_length_a 9.551
_cell_length_b 9.551
_cell_length_c 8.739
_cell_angle_alpha 90.00
_cell_angle_beta 90.00
_cell_angle_gamma 135.74
loop_
_atom_site_label
_atom_site_fract_x
_atom_site_fract_y
_atom_site_fract_z
_atom_site_occupancy
Gd1 0.896 0.605 0.355 1
Gd2 0.395 0.104 0.145 1
Gd3 0.605 0.896 0.645 1
Gd4 0.104 0.395 0.855 1
P1 0.853 0.725 0.729 1
P2 0.275 0.147 0.771 1
P3 0.418 0.099 0.500 1
P4 0.901 0.582 0.000 1
P5 0.099 0.418 0.500 1
P6 0.582 0.901 0.000 1
P7 0.147 0.275 0.229 1
P8 0.725 0.853 0.271 1
O1 0.251 0.212 0.207 1
O2 0.788 0.749 0.293 1
O3 0.089 0.911 0.750 1
O4 0.377 0.207 0.606 1
O5 0.793 0.623 0.894 1
O6 0.403 0.174 0.894 1
O7 0.826 0.597 0.606 1
O8 0.230 0.932 0.403 1
O9 0.068 0.770 0.097 1
O10 0.736 0.423 0.116 1
O11 0.577 0.264 0.384 1
O12 0.972 0.515 0.897 1
O13 0.485 0.028 0.603 1
O14 0.028 0.485 0.397 1
O15 0.515 0.972 0.103 1
O16 0.264 0.577 0.616 1
O17 0.423 0.736 0.884 1
O18 0.770 0.068 0.903 1
O19 0.932 0.230 0.597 1
O20 0.597 0.826 0.394 1
O21 0.174 0.403 0.106 1
O22 0.207 0.377 0.394 1
O23 0.623 0.793 0.106 1
O24 0.911 0.089 0.250 1
O25 0.212 0.251 0.793 1
O26 0.749 0.788 0.707 1
```

Summary:
E above lowest polymorph = 0.0000 eV/atom

---

[7]
The following is a DFT calculation (PBE-GGA) of a relaxed structure of Mo2Se.

Geometry as CIF:
```
data_Mo2Se
_space_group_name_H-M_alt 'P 1'
_space_group_IT_number 1
_space_group_name_Hall 'P 1'
_cell_length_a 3.647
_cell_length_b 3.647
_cell_length_c 4.233
_cell_angle_alpha 90.00
_cell_angle_beta 90.00
_cell_angle_gamma 90.00
loop_
_atom_site_label
_atom_site_fract_x
_atom_site_fract_y
_atom_site_fract_z
_atom_site_occupancy
Mo1 0.000 0.500 0.500 1
Mo2 0.500 0.000 0.500 1
Se1 0.000 0.000 0.000 1
```

Summary:
E above lowest polymorph = 0.7652 eV/atom

---

[8]
The following is a DFT calculation (PBE-GGA) of a relaxed structure of Cs2SrBr3.

Geometry as CIF:
```
data_Cs2SrBr3
_space_group_name_H-M_alt 'P 1'
_space_group_IT_number 1
_space_group_name_Hall 'P 1'
_cell_length_a 8.596
_cell_length_b 9.522
_cell_length_c 8.805
_cell_angle_alpha 105.98
_cell_angle_beta 119.22
_cell_angle_gamma 90.00
loop_
_atom_site_label
_atom_site_fract_x
_atom_site_fract_y
_atom_site_fract_z
_atom_site_occupancy
Cs1 0.667 0.577 0.316 1
Cs2 0.649 0.077 0.316 1
Cs3 0.351 0.923 0.684 1
Cs4 0.333 0.423 0.684 1
Sr1 0.015 0.750 0.000 1
Sr2 0.985 0.250 0.000 1
Br1 0.336 0.250 0.000 1
Br2 0.664 0.750 0.000 1
Br3 0.143 0.073 0.286 1
Br4 0.857 0.427 0.714 1
Br5 0.143 0.573 0.286 1
Br6 0.857 0.927 0.714 1
```

Summary:
Uncorrected energy = -36.2 eV for the cell shown